Density functional theory data (PBE with a Hubbard U) for crystalline ScFeO3 at its relaxed geometry.

Results
Magnetic moment in μB/f.u.: 4.88
Fermi-level density of states in states/eV per atom: 0.488
DFT total energy in eV/cell: -35.73

Cell lengths 3.786, 3.786, 3.786 Å; angles 90.00, 90.00, 90.00 degrees
Fractional coordinates of all 5 atoms:
O 0.500 0.000 0.000
O 0.000 0.500 0.000
O 0.000 0.000 0.500
Sc 0.500 0.500 0.500
Fe 0.000 0.000 0.000